No. 1
# Cu2Ge2Te | Alexandria | PBE-GGA | relaxed
data_Cu2Ge2Te
_cell_length_a 7.934
_cell_length_b 7.934
_cell_length_c 2.943
_cell_angle_alpha 90.00
_cell_angle_beta 90.00
_cell_angle_gamma 90.00
_space_group_name_H-M_alt 'P 4/m b m'
_space_group_IT_number 127
_space_group_name_Hall '-P 4 2ab'
loop_
_atom_site_label
_atom_site_fract_x
_atom_site_fract_y
_atom_site_fract_z
Cu1 0.111 0.389 0.000
Ge1 0.180 0.680 0.500
Te1 0.000 0.000 0.500
# formation energy (no corrections): 0.282 eV per atom
# N(E_F): 3.43 states/eV/cell
# crystal system: tetragonal

***

No. 2
# Dy9HoTm2 | Alexandria | PBE-GGA | relaxed
data_Dy9HoTm2
_cell_length_a 4.984
_cell_length_b 4.984
_cell_length_c 14.953
_cell_angle_alpha 90.00
_cell_angle_beta 90.00
_cell_angle_gamma 90.00
_space_group_name_H-M_alt 'P 4/m m m'
_space_group_IT_number 123
_space_group_name_Hall '-P 4 2'
loop_
_atom_site_label
_atom_site_fract_x
_atom_site_fract_y
_atom_site_fract_z
Dy1 0.000 0.000 0.000
Dy2 0.000 0.000 0.334
Dy3 0.000 0.500 0.167
Dy4 0.000 0.500 0.500
Ho1 0.500 0.500 0.000
Tm1 0.500 0.500 0.334
# total energy: -4.557 eV per atom
# N(E_F): 17.75 states/eV/cell
# crystal system: tetragonal

***

No. 3
# Pr2Si4Pd5 | Alexandria | PBE-GGA | relaxed
data_Pr2Si4Pd5
_cell_length_a 5.856
_cell_length_b 9.960
_cell_length_c 13.919
_cell_angle_alpha 90.00
_cell_angle_beta 90.00
_cell_angle_gamma 90.00
_space_group_name_H-M_alt 'F m m m'
_space_group_IT_number 69
_space_group_name_Hall '-F 2 2'
loop_
_atom_site_label
_atom_site_fract_x
_atom_site_fract_y
_atom_site_fract_z
Pr1 0.000 0.000 0.141
Si1 0.000 0.142 0.364
Pd1 0.000 0.000 0.500
Pd2 0.250 0.250 0.000
Pd3 0.250 0.250 0.250
# formation energy (no corrections): -0.761 eV per atom
# N(E_F): 32.01 states/eV/cell
# crystal system: orthorhombic

***

- What is the N(E_F) in the first record?
  3.43 states/eV/cell